1.
Below is KHfP2O after structural relaxation, with properties calculated at the PBE level.

abc: 5.2918 5.2918 4.0655
angles: 90.00 90.00 90.00
Each line ends with the local moment (μB).
Positions (direct):
K: 0.5000 0.5000 0.5000  0.02
P: 0.5000 0.0000 0.0000  0.47
P: 0.0000 0.5000 0.0000  0.47
O: 0.0000 0.0000 0.5000  0.20
Hf: 0.0000 0.0000 0.0000  -0.01

Results
ρ ... 4.3 g cm⁻³
SG ... P4/mmm (123)
Calculated volume ... 113.8 Å³/cell
Raw formation energy ... -0.7960 eV per atom

2.
Below is NdScAlHg after structural relaxation, with properties calculated at the PBE level.

abc: 5.1585 5.1585 5.1585
angles: 60.00 60.00 60.00
Positions (direct):
Nd: 0.5000 0.5000 0.5000
Sc: 0.0000 0.0000 0.0000
Hg: 0.2500 0.2500 0.2500
Al: 0.7500 0.7500 0.7500

Results
ρ ... 7.1 g cm⁻³
SG ... F-43m (216)
Calculated volume ... 97.1 Å³/cell
DFT formation energy ... -34 kJ/mol of atoms

3.
Below is SrZr4Be after structural relaxation, with properties calculated at the PBE level.

abc: 5.9812 5.9812 5.9812
angles: 60.00 60.00 60.00
Positions (direct):
Zr: 0.3750 0.3750 0.8750
Zr: 0.8750 0.3750 0.3750
Zr: 0.3750 0.3750 0.3750
Zr: 0.3750 0.8750 0.3750
Be: 0.7500 0.7500 0.7500
Sr: 0.0000 0.0000 0.0000

Results
ρ ... 5.1 g cm⁻³
SG ... F-43m (216)
Calculated volume ... 151.3 Å³/cell
DFT formation energy ... 68 kJ/mol of atoms

4.
Below is CrIr2 after structural relaxation, with properties calculated at the PBE level.

abc: 2.7149 5.0614 6.3606
angles: 76.87 90.00 74.44
Positions (direct):
Ir: 0.6063 0.7874 0.7295
Ir: 0.2850 0.4301 0.0461
Ir: 0.9427 0.1146 0.3917
Ir: 0.6662 0.6675 0.3327
Cr: 0.0012 0.9976 0.9994
Cr: 0.3319 0.3362 0.6674

Results
ρ ... 17.7 g cm⁻³
SG ... Cm (8)
Calculated volume ... 81.8 Å³/cell
DFT formation energy ... -16 kJ/mol of atoms

5.
Below is Mg3SbPt12 after structural relaxation, with properties calculated at the PBE level.

abc: 3.9803 3.9803 16.0515
angles: 90.00 90.00 90.00
Positions (direct):
Pt: 0.5000 0.5000 0.0000
Pt: 0.5000 0.0000 0.3775
Pt: 0.5000 0.5000 0.7459
Pt: 0.0000 0.5000 0.6225
Pt: 0.5000 0.5000 0.5000
Pt: 0.5000 0.0000 0.1317
Pt: 0.0000 0.5000 0.3775
Pt: 0.0000 0.5000 0.8683
Pt: 0.5000 0.0000 0.6225
Pt: 0.5000 0.5000 0.2541
Pt: 0.5000 0.0000 0.8683
Pt: 0.0000 0.5000 0.1317
Mg: 0.0000 0.0000 0.5000
Mg: 0.0000 0.0000 0.2561
Mg: 0.0000 0.0000 0.7439
Sb: 0.0000 0.0000 0.0000

Results
ρ ... 16.6 g cm⁻³
SG ... P4/mmm (123)
Calculated volume ... 254.3 Å³/cell
Raw formation energy ... -0.5186 eV per atom

6.
Below is TbCd3Au3 after structural relaxation, with properties calculated at the PBE level.

abc: 7.4855 7.4855 7.4855
angles: 90.00 90.00 90.00
Positions (direct):
Cd: 0.5000 0.2500 0.0000
Cd: 0.2500 0.0000 0.5000
Cd: 0.0000 0.5000 0.7500
Cd: 0.5000 0.7500 0.0000
Cd: 0.7500 0.0000 0.5000
Cd: 0.0000 0.5000 0.2500
Tb: 0.0000 0.0000 0.0000
Tb: 0.5000 0.5000 0.5000
Au: 0.0000 0.7500 0.5000
Au: 0.5000 0.0000 0.7500
Au: 0.0000 0.2500 0.5000
Au: 0.2500 0.5000 0.0000
Au: 0.5000 0.0000 0.2500
Au: 0.7500 0.5000 0.0000

Results
ρ ... 8.6 g cm⁻³
SG ... Pm-3n (223)
Calculated volume ... 419.4 Å³/cell
DFT formation energy ... 27 kJ/mol of atoms

7.
Below is ZrVCrTc after structural relaxation, with properties calculated at the PBE level.

abc: 4.4381 4.4381 4.4381
angles: 60.00 60.00 60.00
Each line ends with the local moment (μB).
Positions (direct):
Tc: 0.7500 0.7500 0.7500  0.23
Zr: 0.5000 0.5000 0.5000  -0.03
V: 0.0000 0.0000 0.0000  -0.72
Cr: 0.2500 0.2500 0.2500  1.57

Results
ρ ... 7.8 g cm⁻³
SG ... F-43m (216)
Calculated volume ... 61.8 Å³/cell
DFT formation energy ... -5 kJ/mol of atoms

8.
Below is PIrRu2 after structural relaxation, with properties calculated at the PBE level.

abc: 2.8364 2.8364 6.6720
angles: 90.00 90.00 90.00
Positions (direct):
Ir: 0.5000 0.5000 0.0000
P: 0.5000 0.5000 0.5000
Ru: 0.0000 0.0000 0.7102
Ru: 0.0000 0.0000 0.2898

Results
ρ ... 13.2 g cm⁻³
SG ... P4/mmm (123)
Calculated volume ... 53.7 Å³/cell
DFT formation energy ... -14 kJ/mol of atoms

9.
Below is ScInIr3 after structural relaxation, with properties calculated at the PBE level.

abc: 4.8181 4.8181 4.8181
angles: 90.00 90.00 90.00
Positions (direct):
Sc: 0.5000 0.5000 0.5000
Ir: 0.5000 0.0000 0.0000
Ir: 0.0000 0.0000 0.5000
Ir: 0.0000 0.5000 0.0000
In: 0.0000 0.0000 0.0000

Results
ρ ... 10.9 g cm⁻³
SG ... Pm-3m (221)
Calculated volume ... 111.8 Å³/cell
DFT formation energy ... 124 kJ/mol of atoms

10.
Below is TbY2TeO8 after structural relaxation, with properties calculated at the PBE level.

abc: 5.0415 5.0445 6.9020
angles: 90.00 90.00 90.87
Each line ends with the local moment (μB).
Positions (direct):
O: 0.7245 0.7250 0.0000  0.10
O: 0.8181 0.1823 0.2112  0.06
O: 0.6895 0.6904 0.5000  0.12
O: 0.2755 0.2750 0.0000  0.10
O: 0.8181 0.1823 0.7888  0.06
O: 0.1819 0.8177 0.2112  0.06
O: 0.1819 0.8177 0.7888  0.06
O: 0.3105 0.3096 0.5000  0.12
Y: 0.5000 0.5000 0.7528  -0.01
Y: 0.5000 0.5000 0.2472  -0.01
Te: 0.0000 0.0000 0.0000  -0.01
Tb: 0.0000 0.0000 0.5000  0.02

Results
ρ ... 5.6 g cm⁻³
SG ... Cmmm (65)
Calculated volume ... 175.5 Å³/cell
Raw formation energy ... -2.4966 eV per atom

11.
Below is HfZr6Tl2 after structural relaxation, with properties calculated at the PBE level.

abc: 5.0781 8.3953 8.3953
angles: 40.12 72.40 72.40
Positions (direct):
Zr: 0.0000 0.2494 0.7506
Zr: 0.1919 0.0599 0.5563
Zr: 0.0000 0.7506 0.2494
Zr: 0.8081 0.9401 0.4437
Zr: 0.8081 0.4437 0.9401
Zr: 0.1919 0.5563 0.0599
Tl: 0.6100 0.8900 0.8900
Tl: 0.3900 0.1100 0.1100
Hf: 0.5000 0.5000 0.5000

Results
ρ ... 8.6 g cm⁻³
SG ... Immm (71)
Calculated volume ... 218.4 Å³/cell
DFT formation energy ... 43 kJ/mol of atoms

12.
Below is Zr5Fe3 after structural relaxation, with properties calculated at the PBE level.

abc: 7.9333 7.9427 7.9395
angles: 100.21 100.07 137.87
Each line ends with the local moment (μB).
Positions (direct):
Zr: 0.2313 0.3525 0.7053  0.01
Zr: 0.8532 0.7321 0.7052  0.01
Zr: 0.7635 0.2637 0.5192  -0.02
Zr: 0.1460 0.2679 0.2947  0.01
Zr: 0.2360 0.9488 0.1288  -0.02
Zr: 0.7631 0.0512 0.8712  -0.02
Zr: 0.2357 0.7363 0.4808  -0.02
Zr: 0.5525 0.2648 0.8716  -0.02
Zr: 0.4466 0.7352 0.1284  -0.02
Zr: 0.7679 0.6475 0.2947  0.01
Fe: 0.7549 0.2549 0.1805  0.24
Fe: 0.2443 0.7451 0.8196  0.24
Fe: 0.3451 0.1545 0.5004  -0.06
Fe: 0.7505 0.7489 0.9999  -0.01
Fe: 0.2487 0.2510 0.0001  -0.01
Fe: 0.6541 0.8456 0.4996  -0.06

Results
ρ ... 7.1 g cm⁻³
SG ... P-1 (2)
Calculated volume ... 292.6 Å³/cell
DFT formation energy ... -8 kJ/mol of atoms